[1]
Compound: ThPaRuAu
Source: Alexandria
Functional: GGA-PBE
Structure: relaxed

## Properties
- Energy of formation: -0.29 eV per atom

abc: 7.150 7.150 7.150
angles: 90.00 90.00 90.00
Space group F-43m (No. 216)
One atom of each set of equivalent atoms:
Th (0.000, 0.000, 0.000) (multiplicity 4)
Pa (0.000, 0.000, 0.500) (multiplicity 4)
Ru (0.250, 0.250, 0.250) (multiplicity 4)
Au (0.250, 0.250, 0.750) (multiplicity 4)

---

[2]
Compound: TmPaRuAu
Source: Alexandria
Functional: GGA-PBE
Structure: relaxed

## Properties
- Energy of formation: -0.40 eV per atom

abc: 6.994 6.994 6.994
angles: 90.00 90.00 90.00
Space group F-43m (No. 216)
One atom of each set of equivalent atoms:
Tm (0.000, 0.000, 0.000) (multiplicity 4)
Pa (0.000, 0.000, 0.500) (multiplicity 4)
Ru (0.250, 0.250, 0.250) (multiplicity 4)
Au (0.250, 0.250, 0.750) (multiplicity 4)

---

[3]
Compound: PaZnRuAu
Source: Alexandria
Functional: GGA-PBE
Structure: relaxed

## Properties
- Energy of formation: -0.18 eV per atom

abc: 6.720 6.720 6.720
angles: 90.00 90.00 90.00
Space group F-43m (No. 216)
One atom of each set of equivalent atoms:
Pa (0.000, 0.000, 0.000) (multiplicity 4)
Zn (0.000, 0.000, 0.500) (multiplicity 4)
Ru (0.250, 0.250, 0.250) (multiplicity 4)
Au (0.250, 0.250, 0.750) (multiplicity 4)

---

[4]
Compound: Pa3Au5S12
Source: Alexandria
Functional: GGA-PBE
Structure: relaxed

## Properties
- Raw formation energy: -1283 kJ/mol of formula units

abc: 15.211 15.211 15.211
angles: 90.00 90.00 90.00
Space group Ia-3d (No. 230)
One atom of each set of equivalent atoms:
Pa (0.000, 0.250, 0.125) (multiplicity 24)
Au (0.000, 0.000, 0.000) (multiplicity 16)
Au (0.000, 0.250, 0.375) (multiplicity 24)
S (0.018, 0.069, 0.652) (multiplicity 96)

---

[5]
Compound: PaAuS3
Source: Alexandria
Functional: GGA-PBE
Structure: relaxed

## Properties
- Raw formation energy: -487 kJ/mol of formula units

abc: 6.640 6.848 10.771
angles: 90.00 116.44 90.00
Space group P2_1/c (No. 14)
One atom of each set of equivalent atoms:
Pa (0.158, 0.144, 0.210) (multiplicity 4)
Au (0.153, 0.638, 0.115) (multiplicity 4)
S (0.156, 0.141, 0.943) (multiplicity 4)
S (0.215, 0.649, 0.893) (multiplicity 4)
S (0.454, 0.077, 0.753) (multiplicity 4)

---

[6]
Compound: PaAuS2
Source: Alexandria
Functional: GGA-PBE
Structure: relaxed

## Properties
- Raw formation energy: -349 kJ/mol of formula units

abc: 3.8351 3.8351 23.7003
angles: 90.00 90.00 120.00
Space group R-3m (No. 166, hexagonal axes)
One atom of each set of equivalent atoms:
Pa (0.0000, 0.0000, 0.0000) (multiplicity 3)
Au (0.0000, 0.0000, 0.5000) (multiplicity 3)
S (0.0000, 0.0000, 0.4009) (multiplicity 6)

---

[7]
Compound: PaSnAuS
Source: Alexandria
Functional: GGA-PBE
Structure: relaxed

## Properties
- Raw formation energy: -304 kJ/mol of formula units

abc: 4.480 4.480 8.658
angles: 90.00 90.00 90.00
Space group P4/nmm (No. 129, origin choice 2)
One atom of each set of equivalent atoms:
Pa (0.250, 0.250, 0.193) (multiplicity 2)
Sn (0.250, 0.250, 0.697) (multiplicity 2)
Au (0.250, 0.750, 0.500) (multiplicity 2)
S (0.250, 0.750, 0.000) (multiplicity 2)

---

[8]
Compound: PaTlAuS4
Source: Alexandria
Functional: GGA-PBE
Structure: relaxed

## Properties
- Raw formation energy: -547 kJ/mol of formula units

abc: 6.917 5.398 9.645
angles: 90.00 109.13 90.00
Space group P2_1/m (No. 11)
One atom of each set of equivalent atoms:
Pa (0.229, 0.250, 0.448) (multiplicity 2)
Tl (0.282, 0.750, 0.051) (multiplicity 2)
Au (0.452, 0.750, 0.757) (multiplicity 2)
S (0.139, 0.013, 0.679) (multiplicity 4)
S (0.190, 0.250, 0.163) (multiplicity 2)
S (0.357, 0.750, 0.421) (multiplicity 2)

---

[9]
Compound: Pa2SbAu
Source: Alexandria
Functional: GGA-PBE
Structure: relaxed

## Properties
- E above lowest polymorph: 13 meV/atom
- Raw formation energy: -103 kJ/mol of formula units

abc: 4.682 4.682 4.402
angles: 90.00 90.00 90.00
Space group P4/mmm (No. 123)
One atom of each set of equivalent atoms:
Pa (0.000, 0.500, 0.000) (multiplicity 2)
Sb (0.000, 0.000, 0.500) (multiplicity 1)
Au (0.500, 0.500, 0.500) (multiplicity 1)

---

[10]
Compound: Pa2SbAu
Source: Alexandria
Functional: GGA-PBE
Structure: relaxed

## Properties
- E above lowest polymorph: 0 meV/atom
- Raw formation energy: -108 kJ/mol of formula units

abc: 3.467 3.467 8.040
angles: 90.00 90.00 90.00
Space group P4/mmm (No. 123)
One atom of each set of equivalent atoms:
Pa (0.000, 0.000, 0.249) (multiplicity 2)
Sb (0.500, 0.500, 0.500) (multiplicity 1)
Au (0.500, 0.500, 0.000) (multiplicity 1)

---

[11]
Compound: Pa2SbAu
Source: Alexandria
Functional: GGA-PBE
Structure: relaxed

## Properties
- E above lowest polymorph: 78 meV/atom
- Raw formation energy: -78 kJ/mol of formula units

abc: 4.2653 4.2653 21.2517
angles: 90.00 90.00 120.00
Space group R-3m (No. 166, hexagonal axes)
One atom of each set of equivalent atoms:
Pa (0.0000, 0.0000, 0.2413) (multiplicity 6)
Sb (0.0000, 0.0000, 0.0000) (multiplicity 3)
Au (0.0000, 0.0000, 0.5000) (multiplicity 3)

---

[12]
Compound: PaSbAu4
Source: Alexandria
Functional: GGA-PBE
Structure: relaxed

## Properties
- Raw formation energy: -81 kJ/mol of formula units

abc: 8.001 8.001 8.001
angles: 90.00 90.00 90.00
Space group F-43m (No. 216)
One atom of each set of equivalent atoms:
Pa (0.000, 0.000, 0.000) (multiplicity 4)
Sb (0.250, 0.250, 0.250) (multiplicity 4)
Au (0.125, 0.125, 0.625) (multiplicity 16)

---

[13]
Compound: Pa2SbAu2
Source: Alexandria
Functional: GGA-PBE
Structure: relaxed

## Properties
- Raw formation energy: -158 kJ/mol of formula units

abc: 6.151 5.354 7.510
angles: 90.00 96.82 90.00
Space group C2/m (No. 12)
One atom of each set of equivalent atoms:
Pa (0.096, 0.000, 0.227) (multiplicity 4)
Sb (0.000, 0.500, 0.000) (multiplicity 2)
Au (0.182, 0.500, 0.399) (multiplicity 4)

---

[14]
Compound: Pa2SbAu
Source: Alexandria
Functional: GGA-PBE
Structure: relaxed

## Properties
- E above lowest polymorph: 110 meV/atom
- Raw formation energy: -66 kJ/mol of formula units

abc: 7.398 7.398 7.398
angles: 90.00 90.00 90.00
Space group Fm-3m (No. 225)
One atom of each set of equivalent atoms:
Pa (0.250, 0.250, 0.250) (multiplicity 8)
Sb (0.000, 0.000, 0.000) (multiplicity 4)
Au (0.000, 0.000, 0.500) (multiplicity 4)

---

[15]
Compound: ScPaSbAu
Source: Alexandria
Functional: GGA-PBE
Structure: relaxed

## Properties
- Raw formation energy: -162 kJ/mol of formula units

abc: 7.231 7.231 7.231
angles: 90.00 90.00 90.00
Space group F-43m (No. 216)
One atom of each set of equivalent atoms:
Sc (0.000, 0.000, 0.000) (multiplicity 4)
Pa (0.000, 0.000, 0.500) (multiplicity 4)
Sb (0.250, 0.250, 0.750) (multiplicity 4)
Au (0.250, 0.250, 0.250) (multiplicity 4)

---

[16]
Compound: PaSbAuSe
Source: Alexandria
Functional: GGA-PBE
Structure: relaxed

## Properties
- Raw formation energy: -257 kJ/mol of formula units

abc: 4.557 4.557 8.854
angles: 90.00 90.00 90.00
Space group P4/nmm (No. 129, origin choice 2)
One atom of each set of equivalent atoms:
Pa (0.250, 0.250, 0.215) (multiplicity 2)
Sb (0.250, 0.250, 0.697) (multiplicity 2)
Au (0.250, 0.750, 0.500) (multiplicity 2)
Se (0.250, 0.750, 0.000) (multiplicity 2)

---

[17]
Compound: PaSnSbAu
Source: Alexandria
Functional: GGA-PBE
Structure: relaxed

## Properties
- E above lowest polymorph: 196 meV/atom
- Raw formation energy: -79 kJ/mol of formula units

abc: 7.321 7.321 7.321
angles: 90.00 90.00 90.00
Space group F-43m (No. 216)
One atom of each set of equivalent atoms:
Pa (0.000, 0.000, 0.000) (multiplicity 4)
Sn (0.000, 0.000, 0.500) (multiplicity 4)
Sb (0.250, 0.250, 0.750) (multiplicity 4)
Au (0.250, 0.250, 0.250) (multiplicity 4)

---

[18]
Compound: PaSnSbAu
Source: Alexandria
Functional: GGA-PBE
Structure: relaxed

## Properties
- E above lowest polymorph: 0 meV/atom
- Raw formation energy: -155 kJ/mol of formula units

abc: 4.248 4.586 4.856
angles: 90.00 90.00 90.00
Space group Pmmm (No. 47)
One atom of each set of equivalent atoms:
Pa (0.000, 0.000, 0.000) (multiplicity 1)
Sn (0.500, 0.000, 0.500) (multiplicity 1)
Sb (0.500, 0.500, 0.000) (multiplicity 1)
Au (0.000, 0.500, 0.500) (multiplicity 1)

---

[19]
Compound: ThPaSbAu
Source: Alexandria
Functional: GGA-PBE
Structure: relaxed

## Properties
- Raw formation energy: -138 kJ/mol of formula units

abc: 7.494 7.494 7.494
angles: 90.00 90.00 90.00
Space group F-43m (No. 216)
One atom of each set of equivalent atoms:
Th (0.000, 0.000, 0.000) (multiplicity 4)
Pa (0.000, 0.000, 0.500) (multiplicity 4)
Sb (0.250, 0.250, 0.750) (multiplicity 4)
Au (0.250, 0.250, 0.250) (multiplicity 4)

---

[20]
Compound: TmPaSbAu
Source: Alexandria
Functional: GGA-PBE
Structure: relaxed

## Properties
- Raw formation energy: -166 kJ/mol of formula units

abc: 7.355 7.355 7.355
angles: 90.00 90.00 90.00
Space group F-43m (No. 216)
One atom of each set of equivalent atoms:
Tm (0.000, 0.000, 0.000) (multiplicity 4)
Pa (0.000, 0.000, 0.500) (multiplicity 4)
Sb (0.250, 0.250, 0.750) (multiplicity 4)
Au (0.250, 0.250, 0.250) (multiplicity 4)